Material: CrAuO2F
Method: DFT, GGA+U
State: optimized geometry

```
data_CrAuO2F
_chemical_formula_sum 'Cr1 Au1 O2 F1'
_cell_length_a 4.0868
_cell_length_b 4.0868
_cell_length_c 4.3192
_cell_angle_alpha 90.00
_cell_angle_beta 90.00
_cell_angle_gamma 90.00
_space_group_name_H-M_alt 'P 4/m m m'
_space_group_IT_number 123
_space_group_name_Hall '-P 4 2'
loop_
_atom_site_label
_atom_site_type_symbol
_atom_site_fract_x
_atom_site_fract_y
_atom_site_fract_z
Cr1 Cr 0.0000 0.0000 0.0000
Au1 Au 0.5000 0.5000 0.5000
O1 O 0.0000 0.5000 0.5000
F1 F 0.5000 0.5000 0.0000
```

Values from the calculation:
* electronic total energy: -4.620 eV per atom